Pm3DyEr12 | PBE | relaxed

```
16
Lattice="-2.629 4.223 0.489 -4.178 -2.673 0.621 3.146 -0.329 19.746" Properties=species:S:1:pos:R:3 pbc="T T T"
Er -1.831 0.610 10.428
Er -1.700 -1.377 2.752
Dy 0.000 0.000 0.000
Er 1.442 1.823 17.550
Pm 1.573 -0.164 9.873
Pm 2.361 -0.247 14.821
Er -2.621 0.693 5.470
Er -0.926 2.071 2.686
Er -0.910 -1.460 7.708
Er 0.668 -1.625 17.616
Er -1.041 0.528 15.387
Pm 0.785 -0.082 4.926
Er -3.404 0.775 0.555
Er -0.122 -1.542 12.660
Er -0.136 1.988 7.642
Er 0.653 1.906 12.594
```

Formation energy, meV per atom: 23
E_tot, eV/atom: -4.5780

=====

Pm7Dy4Er | PBE | relaxed

```
12
Lattice="3.006 6.001 0.683 -3.006 6.001 0.683 0.000 4.788 11.923" Properties=species:S:1:pos:R:3 pbc="T T T"
Pm 0.000 9.968 6.816
Dy 0.000 8.788 3.545
Pm 0.000 4.010 8.219
Pm 0.000 13.879 12.069
Pm 0.000 6.001 0.683
Er 0.000 0.000 0.000
Dy 0.000 12.359 9.130
Dy 0.000 4.431 4.159
Pm 0.000 6.822 6.473
Pm 0.000 12.780 5.070
Dy 0.000 8.002 9.744
Pm 0.000 2.911 1.220
```

Formation energy, meV per atom: 263
Energy above the lowest structure with this stoichiometry, meV/atom: 41.8
E_tot, eV/atom: -4.4221